1.
## Ho4In2Ga (PBE)

Data for Ho4In2Ga after structural relaxation.

## Properties
**Energy above the lowest structure with this stoichiometry**: 109 meV per atom
**Total moment**: 0.0 μB per formula unit
**DFT formation energy**: -207 meV per atom
**Uncorrected energy**: -4.038 eV/atom
**SG**: P2/m

Unit cell a=3.5580 b=8.3981 c=7.9132 alpha=123.24 beta=90.00 gamma=90.00
Fractional positions:
Ho 0.0000 0.5040 0.3220
Ho 0.5000 0.2136 0.4356
Ho 0.0000 0.6389 0.8211
Ho 0.5000 0.9291 0.7072
In 0.5000 0.3642 0.9052
In 0.5000 0.7785 0.2377
Ga 0.0000 0.0715 0.0714

***

2.
## Ho2In9Ga (PBE)

Data for Ho2In9Ga after structural relaxation.

## Properties
**Total moment**: 0.0 μB per formula unit
**DFT formation energy**: -228 meV per atom
**Uncorrected energy**: -3.297 eV/atom
**SG**: P4/mmm

Unit cell a=4.6216 b=4.6216 c=14.0124 alpha=90.00 beta=90.00 gamma=90.00
Fractional positions:
Ho 0.0000 0.0000 0.6638
Ho 0.0000 0.0000 0.3362
In 0.0000 0.5000 0.5000
In 0.5000 0.0000 0.5000
In 0.5000 0.5000 0.6669
In 0.5000 0.5000 0.0000
In 0.5000 0.5000 0.3331
In 0.5000 0.0000 0.1642
In 0.0000 0.5000 0.8358
In 0.0000 0.5000 0.1642
In 0.5000 0.0000 0.8358
Ga 0.0000 0.0000 0.0000

***

3.
## HoInGa4 (PBE)

Data for HoInGa4 after structural relaxation.

## Properties
**Total moment**: 0.0 μB per formula unit
**DFT formation energy**: -218 meV per atom
**Uncorrected energy**: -3.455 eV/atom
**SG**: F-43m

Unit cell a=5.5837 b=5.5837 c=5.5837 alpha=60.00 beta=60.00 gamma=60.00
Fractional positions:
Ga 0.6246 0.6246 0.6246
Ga 0.1262 0.6246 0.6246
Ga 0.6246 0.1262 0.6246
Ga 0.6246 0.6246 0.1262
In 0.0000 0.0000 0.0000
Ho 0.2500 0.2500 0.2500

***

4.
## Ho2In2Ga (PBE)

Data for Ho2In2Ga after structural relaxation.

## Properties
**Total moment**: 0.0 μB per formula unit
**DFT formation energy**: -462 meV per atom
**Uncorrected energy**: -3.994 eV/atom
**SG**: C2/m

Unit cell a=4.4707 b=6.0300 c=10.2406 alpha=90.43 beta=77.39 gamma=68.24
Fractional positions:
Ga 0.3896 0.9070 0.3137
Ga 0.6104 0.0930 0.6863
Ho 0.0687 0.7512 0.1114
Ho 0.9313 0.2488 0.8886
Ho 0.6689 0.3423 0.3198
Ho 0.3311 0.6577 0.6802
In 0.9010 0.7524 0.4456
In 0.6531 0.8003 0.8936
In 0.3469 0.1997 0.1064
In 0.0990 0.2476 0.5544

***

5.
## Ho2InGa (PBE)

Data for Ho2InGa after structural relaxation.

## Properties
**Energy above the lowest structure with this stoichiometry**: 133 meV per atom
**Total moment**: 0.0 μB per formula unit
**DFT formation energy**: -379 meV per atom
**Uncorrected energy**: -4.109 eV/atom
**SG**: R-3m

Unit cell a=3.6473 b=3.6473 c=9.4168 alpha=78.83 beta=78.83 gamma=60.00
Fractional positions:
Ga 0.5000 0.5000 0.5000
Ho 0.7561 0.7561 0.7318
Ho 0.2439 0.2439 0.2682
In 0.0000 0.0000 0.0000

***

6.
## HoIn2Ga (PBE)

Data for HoIn2Ga after structural relaxation.

## Properties
**Energy above the lowest structure with this stoichiometry**: 0 meV per atom
**Total moment**: 0.0 μB per formula unit
**DFT formation energy**: -422 meV per atom
**Uncorrected energy**: -3.693 eV/atom
**SG**: P4/mmm

Unit cell a=4.6568 b=4.4548 c=4.4548 alpha=90.00 beta=90.00 gamma=90.00
Fractional positions:
In 0.0000 0.0000 0.5000
In 0.0000 0.5000 0.0000
Ga 0.5000 0.0000 0.0000
Ho 0.5000 0.5000 0.5000

***

7.
## Ho4In3Ga (PBE)

Data for Ho4In3Ga after structural relaxation.

## Properties
**Energy above the lowest structure with this stoichiometry**: 0 meV per atom
**Total moment**: 0.0 μB per formula unit
**DFT formation energy**: -483 meV per atom
**Uncorrected energy**: -4.177 eV/atom
**SG**: P4/mmm

Unit cell a=3.6407 b=3.6407 c=15.3023 alpha=90.00 beta=90.00 gamma=90.00
Fractional positions:
Ho 0.0000 0.0000 0.1137
Ho 0.0000 0.0000 0.8863
Ho 0.0000 0.0000 0.6296
Ho 0.0000 0.0000 0.3704
Ga 0.5000 0.5000 0.0000
In 0.5000 0.5000 0.5000
In 0.5000 0.5000 0.2425
In 0.5000 0.5000 0.7575

***

8.
## Ho8In3Ga2 (PBE)

Data for Ho8In3Ga2 after structural relaxation.

## Properties
**Total moment**: 0.0 μB per formula unit
**DFT formation energy**: -251 meV per atom
**Uncorrected energy**: -4.165 eV/atom
**SG**: Cmmm

Unit cell a=5.3356 b=8.8163 c=8.9046 alpha=119.67 beta=90.00 gamma=90.00
Fractional positions:
Ho 0.5000 0.1578 0.7478
Ho 0.5000 0.4100 0.2522
Ho 0.5000 0.8422 0.2522
Ho 0.0000 0.8902 0.7805
Ho 0.9999 0.3140 0.6280
Ho 0.5000 0.5900 0.7478
Ho 0.0001 0.6860 0.3720
Ho 0.0000 0.1098 0.2195
In 0.5000 0.0000 0.0000
In 0.0000 0.6780 0.0000
In 0.0000 0.3220 0.0000
Ga 0.4998 0.2267 0.4533
Ga 0.5002 0.7733 0.5467

***

9.
## Ho5InGa4 (PBE)

Data for Ho5InGa4 after structural relaxation.

## Properties
**Total moment**: 0.0 μB per formula unit
**DFT formation energy**: -554 meV per atom
**Uncorrected energy**: -4.328 eV/atom
**SG**: P4/mmm

Unit cell a=3.5504 b=3.5504 c=18.4317 alpha=90.00 beta=90.00 gamma=90.00
Fractional positions:
Ga 0.0000 0.0000 0.7907
Ga 0.0000 0.0000 0.4042
Ga 0.0000 0.0000 0.2093
Ga 0.0000 0.0000 0.5958
Ho 0.5000 0.5000 0.6927
Ho 0.5000 0.5000 0.8879
Ho 0.5000 0.5000 0.3073
Ho 0.5000 0.5000 0.5000
Ho 0.5000 0.5000 0.1121
In 0.0000 0.0000 0.0000

***

10.
## Ho2InGa2Ir5 (PBE)

Data for Ho2InGa2Ir5 after structural relaxation.

## Properties
**Total moment**: 0.0 μB per formula unit
**DFT formation energy**: -607 meV per atom
**Uncorrected energy**: -6.832 eV/atom
**SG**: P4/mbm

Unit cell a=3.6654 b=9.7629 c=9.7629 alpha=90.00 beta=90.00 gamma=90.00
Fractional positions:
Ir 0.5000 0.5000 0.0000
Ir 0.5000 0.0667 0.7907
Ir 0.5000 0.9333 0.2093
Ir 0.5000 0.5667 0.7093
Ir 0.5000 0.0000 0.5000
Ir 0.5000 0.2907 0.5667
Ir 0.5000 0.7907 0.9333
Ir 0.5000 0.4333 0.2907
Ir 0.5000 0.2093 0.0667
Ir 0.5000 0.7093 0.4333
In 0.0000 0.0000 0.0000
In 0.0000 0.5000 0.5000
Ga 0.0000 0.1236 0.6236
Ga 0.0000 0.3764 0.1236
Ga 0.0000 0.6236 0.8764
Ga 0.0000 0.8764 0.3764
Ho 0.0000 0.3250 0.8250
Ho 0.0000 0.8250 0.6750
Ho 0.0000 0.1750 0.3250
Ho 0.0000 0.6750 0.1750

***

11.
## LaHoInGa (PBE)

Data for LaHoInGa after structural relaxation.

## Properties
**Energy above the lowest structure with this stoichiometry**: 0 meV per atom
**Total moment**: 0.0 μB per formula unit
**DFT formation energy**: -535 meV per atom
**Uncorrected energy**: -4.353 eV/atom
**SG**: P4mm

Unit cell a=3.7098 b=3.7098 c=7.7063 alpha=90.00 beta=90.00 gamma=90.00
Fractional positions:
In 0.0000 0.0000 0.8363
Ga 0.0000 0.0000 0.3787
Ho 0.5000 0.5000 0.5916
La 0.5000 0.5000 0.1214

***

12.
## LaHoInGa (PBE)

Data for LaHoInGa after structural relaxation.

## Properties
**Energy above the lowest structure with this stoichiometry**: 32 meV per atom
**Total moment**: 0.0 μB per formula unit
**DFT formation energy**: -504 meV per atom
**Uncorrected energy**: -4.321 eV/atom
**SG**: F-43m

Unit cell a=5.3303 b=5.3303 c=5.3303 alpha=60.00 beta=60.00 gamma=60.00
Fractional positions:
Ho 0.0000 0.0000 0.0000
Ga 0.2500 0.2500 0.2500
In 0.7500 0.7500 0.7500
La 0.5000 0.5000 0.5000

***

Question: What is the uncorrected energy in the fifth record?
Answer: -4.109 eV/atom

***

What did the third record say?
## HoInGa4 (PBE)

Data for HoInGa4 after structural relaxation.

## Properties
**Total moment**: 0.0 μB per formula unit
**DFT formation energy**: -218 meV per atom
**Uncorrected energy**: -3.455 eV/atom
**SG**: F-43m

Unit cell a=5.5837 b=5.5837 c=5.5837 alpha=60.00 beta=60.00 gamma=60.00
Fractional positions:
Ga 0.6246 0.6246 0.6246
Ga 0.1262 0.6246 0.6246
Ga 0.6246 0.1262 0.6246
Ga 0.6246 0.6246 0.1262
In 0.0000 0.0000 0.0000
Ho 0.2500 0.2500 0.2500